Below is TmZn6Cu2 after structural relaxation, with properties calculated at the GGA-PBE level.

## Properties
DOS(E_F) (states/eV per cell): 3.72
Volume (Å³/cell): 361.0
Space group: Fd-3m
Crystal system: cubic
Energy of formation from the pure elements (eV/f.u.): 2.3

Cell and atoms, written as POSCAR:
```
TmZn6Cu2
1.0
-2.4408 6.3151 4.2469
-5.1455 -0.9898 6.0348
2.4629 0.9348 7.5455
Zn Cu Tm
12 4 2
Direct
0.0080 0.0080 0.4920
0.7580 0.7580 0.2420
0.0080 0.4920 0.4920
0.2420 0.7580 0.7580
0.2420 0.7580 0.2420
0.4920 0.4920 0.0080
0.7580 0.2420 0.2420
0.4920 0.0080 0.4920
0.2420 0.2420 0.7580
0.7580 0.2420 0.7580
0.4920 0.0080 0.0080
0.0080 0.4920 0.0080
0.1250 0.6250 0.1250
0.6250 0.1250 0.1250
0.1250 0.1250 0.6250
0.1250 0.1250 0.1250
0.7500 0.7500 0.7500
0.5000 0.5000 0.5000
```